# 1
CoHg2TeAu after structural relaxation. Source: Alexandria via LeMat-Bulk, functional PBE.

abc: 5.018 5.018 4.887
angles: 90.00 90.00 90.00
Fractional positions:
Hg: 0.000 0.500 0.000
Hg: 0.500 0.000 0.000
Co: 0.000 0.000 0.000
Te: 0.500 0.500 0.500
Au: 0.000 0.000 0.500

Its symmetry is No. 123. As for the formation energy without anion corrections: 568 meV/atom.

# 2
Cd6Pb7 after structural relaxation. Source: Alexandria via LeMat-Bulk, functional PBE.

abc: 10.369 10.369 10.369
angles: 39.29 39.29 39.29
Fractional positions:
Cd: 0.849 0.849 0.849
Pb: 0.407 0.934 0.407
Cd: 0.662 0.662 0.662
Pb: 0.066 0.593 0.593
Cd: 0.151 0.151 0.151
Cd: 0.338 0.338 0.338
Pb: 0.500 0.500 0.500
Pb: 0.593 0.593 0.066
Pb: 0.934 0.407 0.407
Cd: 0.049 0.049 0.049
Pb: 0.407 0.407 0.934
Pb: 0.593 0.066 0.593
Cd: 0.951 0.951 0.951

Its symmetry is No. 166. The calculation puts the formation energy at 0.1675 eV per atom.

# 3
K17LiCd11 after structural relaxation. Source: Alexandria via LeMat-Bulk, functional PBE.

abc: 11.641 11.641 11.785
angles: 110.12 110.12 109.39
Fractional positions:
K: 0.990 0.990 0.991
K: 0.644 0.644 0.644
K: 0.998 0.998 0.316
K: 0.006 0.285 0.595
Li: 0.341 0.341 0.187
Cd: 0.177 0.177 0.847
Cd: 0.841 0.177 0.176
Cd: 0.993 0.655 0.826
Cd: 0.830 0.655 0.994
K: 0.321 0.993 0.995
K: 0.428 0.428 0.747
Cd: 0.344 0.178 0.344
Cd: 0.655 0.830 0.994
Cd: 0.993 0.828 0.657
K: 0.270 0.684 0.684
K: 0.697 0.697 0.279
K: 0.292 0.594 0.003
K: 0.592 0.007 0.290
Cd: 0.655 0.993 0.826
K: 0.429 0.759 0.430
K: 0.993 0.321 0.995
Cd: 0.177 0.841 0.176
K: 0.007 0.592 0.290
K: 0.684 0.270 0.684
K: 0.285 0.006 0.595
K: 0.759 0.429 0.430
Cd: 0.828 0.993 0.657
K: 0.594 0.292 0.003
Cd: 0.178 0.344 0.344

Its symmetry is No. 8. The calculation puts the formation energy at -0.0039 eV per atom.